(1)
PuMg2B2Rh5: optimized geometry, PBE.

```
data_PuMg2B2Rh5
_symmetry_space_group_name_H-M 'P 4/m b m'
_symmetry_Int_Tables_number 127
_symmetry_space_group_name_Hall '-P 4 2ab'
_cell_length_a 9.861
_cell_length_b 9.861
_cell_length_c 2.993
_cell_angle_alpha 90.00
_cell_angle_beta 90.00
_cell_angle_gamma 90.00
loop_
_atom_site_label
_atom_site_type_symbol
_atom_site_fract_x
_atom_site_fract_y
_atom_site_fract_z
Pu1 Pu 0.000 0.000 0.000
Mg1 Mg 0.176 0.324 0.000
B1 B 0.119 0.619 0.000
Rh1 Rh 0.000 0.500 0.500
Rh2 Rh 0.072 0.771 0.500
```

## Properties
* total DFT energy (no corrections): -7.205 eV per atom
* volume: 291.00 Å³ per cell
* DOS(E_F): 26.07 states/eV per cell
* E_form: -0.44 eV per atom


(2)
Rb2MgB: optimized geometry, PBE.

```
data_Rb2MgB
_symmetry_space_group_name_H-M 'F m -3 m'
_symmetry_Int_Tables_number 225
_symmetry_space_group_name_Hall '-F 4 2 3'
_cell_length_a 8.505
_cell_length_b 8.505
_cell_length_c 8.505
_cell_angle_alpha 90.00
_cell_angle_beta 90.00
_cell_angle_gamma 90.00
loop_
_atom_site_label
_atom_site_type_symbol
_atom_site_fract_x
_atom_site_fract_y
_atom_site_fract_z
Rb1 Rb 0.250 0.250 0.250
Mg1 Mg 0.000 0.000 0.000
B1 B 0.000 0.000 0.500
```

## Properties
* total DFT energy (no corrections): -1.359 eV per atom
* volume: 615.25 Å³ per cell
* DOS(E_F): 9.86 states/eV per cell
* relative energy among the computed polymorphs: 466 meV per atom
* E_form: 1.19 eV per atom